Entry from the Alexandria database: crystalline LaVGe2Pb at its relaxed geometry (PBE-GGA).

Structure (POSCAR):
```
LaVGe2Pb
1.0
5.428 0.000 0.000
0.000 5.428 0.000
0.000 0.000 5.927
La V Ge Pb
1 1 2 1
Direct
0.000 0.000 0.000 La
0.500 0.500 0.500 V
0.000 0.500 0.000 Ge
0.500 0.000 0.000 Ge
0.000 0.000 0.500 Pb
```

Calculated values
Total magnetization, μB per formula unit: 0.143
E_form, eV/f.u.: 7.58
VASP energy, eV per atom: -3.8823

***

Entry from the Alexandria database: crystalline MnAsHBr2 at its relaxed geometry (PBE-GGA).

Structure (POSCAR):
```
MnAsHBr2
1.0
4.999 0.000 0.000
0.000 4.999 0.000
0.000 0.000 4.510
Mn As H Br
1 1 1 2
Direct
0.000 0.000 0.000 Mn
0.000 0.000 0.500 As
0.500 0.500 0.500 H
0.000 0.500 0.000 Br
0.500 0.000 0.000 Br
```

Calculated values
E above lowest polymorph, eV per atom: 0.255
Total magnetization, μB per formula unit: 0.016
VASP energy, eV per atom: -3.3621